Rb2PdC2O6 | GGA-PBE | optimized geometry

Formation energy without anion corrections = -15.5 eV per formula unit

a = 6.625 Å, b = 6.625 Å, c = 6.601 Å
α = 115.17°, β = 115.17°, γ = 45.19°
Fractional positions:
Rb 0.193 0.193 0.203
Rb 0.807 0.807 0.797
Pd 0.000 0.000 0.500
C 0.499 0.499 0.281
C 0.501 0.501 0.719
O 0.215 0.651 0.248
O 0.349 0.785 0.752
O 0.388 0.388 0.668
O 0.612 0.612 0.332
O 0.651 0.215 0.248
O 0.785 0.349 0.752